First-principles (GGA-PBE) data for a relaxed Tb2Pm5Bi5 crystal, as listed in Alexandria.

Cell lengths 4.521, 7.786, 13.038 Å; angles 110.37, 90.00, 106.88 degrees
Sites, in units of the cell vectors:
Tb 0.952 0.903 0.211
Bi 0.308 0.615 0.215
Bi 0.118 0.235 0.430
Pm 0.662 0.324 0.034
Bi 0.882 0.765 0.570
Pm 0.280 0.561 0.659
Pm 0.338 0.676 0.966
Tb 0.048 0.097 0.789
Bi 0.000 0.000 0.000
Pm 0.720 0.439 0.341
Pm 0.500 0.000 0.500
Bi 0.692 0.385 0.785

Formation energy from the elements: -0.67 eV per atom
Total energy: -5.0348 eV/atom
Density: 8.47 g/cm³
SG: No. 12